1.
# DyMg2Sn3 (PBE, optimized geometry)
# Calculated formation energy: -0.56 eV per formula unit
# Excess energy over the best structure of this formula in the dataset: 271 meV/atom
# Total energy: -3.393 eV per atom
data_DyMg2Sn3
_chemical_formula_sum 'Dy4 Mg8 Sn12'
_space_group_name_H-M_alt 'C m c m'
_space_group_IT_number 63
_space_group_name_Hall '-C 2c 2'
_cell_length_a 11.9987
_cell_length_b 9.7782
_cell_length_c 6.0360
_cell_angle_alpha 90.00
_cell_angle_beta 90.00
_cell_angle_gamma 90.00
loop_
_atom_site_label
_atom_site_fract_x
_atom_site_fract_y
_atom_site_fract_z
Dy1 0.0000 0.2042 0.2500
Mg1 0.1320 0.5000 0.0000
Sn1 0.0000 0.2955 0.7500
Sn2 0.1561 0.0549 0.7500

***

2.
# DyTmMgSn (PBE, optimized geometry)
# Calculated formation energy: -1.49 eV per formula unit
# Total energy: -4.041 eV per atom
data_DyTmMgSn
_chemical_formula_sum 'Dy4 Tm4 Mg4 Sn4'
_space_group_name_H-M_alt 'F -4 3 m'
_space_group_IT_number 216
_space_group_name_Hall 'F -4 2 3'
_cell_length_a 7.4446
_cell_length_b 7.4446
_cell_length_c 7.4446
_cell_angle_alpha 90.00
_cell_angle_beta 90.00
_cell_angle_gamma 90.00
loop_
_atom_site_label
_atom_site_fract_x
_atom_site_fract_y
_atom_site_fract_z
Dy1 0.0000 0.0000 0.0000
Tm1 0.0000 0.0000 0.5000
Mg1 0.2500 0.2500 0.7500
Sn1 0.2500 0.2500 0.2500

***

3.
# DyYMgSn (PBE, optimized geometry)
# Calculated formation energy: -1.65 eV per formula unit
# Total energy: -4.578 eV per atom
data_DyYMgSn
_chemical_formula_sum 'Dy4 Y4 Mg4 Sn4'
_space_group_name_H-M_alt 'F -4 3 m'
_space_group_IT_number 216
_space_group_name_Hall 'F -4 2 3'
_cell_length_a 7.4935
_cell_length_b 7.4935
_cell_length_c 7.4935
_cell_angle_alpha 90.00
_cell_angle_beta 90.00
_cell_angle_gamma 90.00
loop_
_atom_site_label
_atom_site_fract_x
_atom_site_fract_y
_atom_site_fract_z
Dy1 0.0000 0.0000 0.0000
Y1 0.0000 0.0000 0.5000
Mg1 0.2500 0.2500 0.2500
Sn1 0.2500 0.2500 0.7500

***

4.
# DyMg2ZnSn2 (PBE, optimized geometry)
# Calculated formation energy: -1.88 eV per formula unit
# Total energy: -3.158 eV per atom
data_DyMg2ZnSn2
_chemical_formula_sum 'Dy2 Mg4 Zn2 Sn4'
_space_group_name_H-M_alt 'P m c 21'
_space_group_IT_number 26
_space_group_name_Hall 'P 2c -2'
_cell_length_a 4.5744
_cell_length_b 8.6462
_cell_length_c 7.1998
_cell_angle_alpha 90.00
_cell_angle_beta 90.00
_cell_angle_gamma 90.00
loop_
_atom_site_label
_atom_site_fract_x
_atom_site_fract_y
_atom_site_fract_z
Dy1 0.0000 0.0350 0.0000
Mg1 0.0000 0.3437 0.3428
Mg2 0.5000 0.4196 0.0208
Zn1 0.5000 0.1683 0.6772
Sn1 0.0000 0.3348 0.7518
Sn2 0.5000 0.1466 0.2754

***

5.
# DyMg2Zn2Sn2 (PBE, optimized geometry)
# Calculated formation energy: -1.51 eV per formula unit
# Total energy: -2.837 eV per atom
data_DyMg2Zn2Sn2
_chemical_formula_sum 'Dy3 Mg6 Zn6 Sn6'
_space_group_name_H-M_alt 'R -3 m'
_space_group_IT_number 166
_space_group_name_Hall '-R 3 2"'
_cell_length_a 4.7492
_cell_length_b 4.7492
_cell_length_c 23.7204
_cell_angle_alpha 90.00
_cell_angle_beta 90.00
_cell_angle_gamma 120.00
loop_
_atom_site_label
_atom_site_fract_x
_atom_site_fract_y
_atom_site_fract_z
Dy1 0.0000 0.0000 0.0000
Mg1 0.0000 0.0000 0.1370
Zn1 0.0000 0.0000 0.4428
Sn1 0.0000 0.0000 0.2614

***

6.
# SrDy2Mg3 (PBE, optimized geometry)
# Calculated formation energy: -0.34 eV per formula unit
# Total energy: -2.669 eV per atom
data_SrDy2Mg3
_chemical_formula_sum 'Sr1 Dy2 Mg3'
_space_group_name_H-M_alt 'P 4/m m m'
_space_group_IT_number 123
_space_group_name_Hall '-P 4 2'
_cell_length_a 3.8715
_cell_length_b 3.8715
_cell_length_c 12.0098
_cell_angle_alpha 90.00
_cell_angle_beta 90.00
_cell_angle_gamma 90.00
loop_
_atom_site_label
_atom_site_fract_x
_atom_site_fract_y
_atom_site_fract_z
Sr1 0.0000 0.0000 0.0000
Dy1 0.0000 0.0000 0.3495
Mg1 0.5000 0.5000 0.1947
Mg2 0.5000 0.5000 0.5000

***

7.
# SrDy2Mg (PBE, optimized geometry)
# Calculated formation energy: 0.31 eV per formula unit
# Excess energy over the best structure of this formula in the dataset: 0 meV/atom
# Total energy: -3.043 eV per atom
data_SrDy2Mg
_chemical_formula_sum 'Sr1 Dy2 Mg1'
_space_group_name_H-M_alt 'P 4/m m m'
_space_group_IT_number 123
_space_group_name_Hall '-P 4 2'
_cell_length_a 3.8161
_cell_length_b 3.8161
_cell_length_c 9.3357
_cell_angle_alpha 90.00
_cell_angle_beta 90.00
_cell_angle_gamma 90.00
loop_
_atom_site_label
_atom_site_fract_x
_atom_site_fract_y
_atom_site_fract_z
Sr1 0.0000 0.0000 0.0000
Dy1 0.5000 0.5000 0.3086
Mg1 0.0000 0.0000 0.5000

***

8.
# SrDyMg (PBE, optimized geometry)
# Calculated formation energy: 0.18 eV per formula unit
# Excess energy over the best structure of this formula in the dataset: 23 meV/atom
# Total energy: -2.565 eV per atom
data_SrDyMg
_chemical_formula_sum 'Sr2 Dy2 Mg2'
_space_group_name_H-M_alt 'I 4 m m'
_space_group_IT_number 107
_space_group_name_Hall 'I 4 -2'
_cell_length_a 3.8725
_cell_length_b 3.8725
_cell_length_c 13.8997
_cell_angle_alpha 90.00
_cell_angle_beta 90.00
_cell_angle_gamma 90.00
loop_
_atom_site_label
_atom_site_fract_x
_atom_site_fract_y
_atom_site_fract_z
Sr1 0.0000 0.0000 0.0000
Dy1 0.0000 0.0000 0.2950
Mg1 0.0000 0.0000 0.6678